Record 1
Cd2IrOs: relaxed, GGA-PBE.

SG = I-4m2, No. 119

a = 4.856 Å, b = 4.856 Å, c = 4.856 Å
α = 128.78°, β = 128.78°, γ = 75.37°
Atoms (fractional coordinates):
Cd 0.250 0.750 0.500
Cd 0.000 0.000 0.000
Ir 0.500 0.500 0.000
Os 0.750 0.250 0.500

***

Record 2
Cd2IrOs: relaxed, GGA-PBE.

SG = Pm, No. 6

a = 2.857 Å, b = 2.857 Å, c = 9.002 Å
α = 71.57°, β = 90.00°, γ = 90.00°
Atoms (fractional coordinates):
Ir 0.000 0.472 0.527
Cd 0.000 0.025 0.976
Cd 0.500 0.225 0.274
Os 0.500 0.778 0.723

***

Record 3
CdIrOs3: relaxed, GGA-PBE.

SG = Pm-3m, No. 221

a = 4.741 Å, b = 4.741 Å, c = 4.741 Å
α = 90.00°, β = 90.00°, γ = 90.00°
Atoms (fractional coordinates):
Os 0.000 0.500 0.000
Os 0.500 0.000 0.000
Os 0.000 0.000 0.500
Ir 0.000 0.000 0.000
Cd 0.500 0.500 0.500

***

Record 4
Cd3IrOs: relaxed, GGA-PBE.

SG = Pm-3m, No. 221

a = 5.087 Å, b = 5.087 Å, c = 5.087 Å
α = 90.00°, β = 90.00°, γ = 90.00°
Atoms (fractional coordinates):
Cd 0.500 0.000 0.000
Cd 0.000 0.500 0.000
Cd 0.000 0.000 0.500
Ir 0.000 0.000 0.000
Os 0.500 0.500 0.500

***

Record 5
CdIr3Os: relaxed, GGA-PBE.

SG = Pm-3m, No. 221

a = 4.762 Å, b = 4.762 Å, c = 4.762 Å
α = 90.00°, β = 90.00°, γ = 90.00°
Atoms (fractional coordinates):
Cd 0.500 0.500 0.500
Ir 0.000 0.500 0.000
Ir 0.000 0.000 0.500
Ir 0.500 0.000 0.000
Os 0.000 0.000 0.000

***

Record 6
Cd2IrOs: relaxed, GGA-PBE.

SG = C2/m, No. 12

a = 4.969 Å, b = 4.969 Å, c = 5.038 Å
α = 80.96°, β = 80.96°, γ = 33.12°
Atoms (fractional coordinates):
Os 0.750 0.750 0.750
Ir 0.250 0.250 0.250
Cd 0.501 0.501 0.499
Cd 0.999 0.999 0.001

***

Record 7
Cd2IrOs: relaxed, GGA-PBE.

SG = P4/mmm, No. 123

a = 4.705 Å, b = 4.705 Å, c = 3.077 Å
α = 90.00°, β = 90.00°, γ = 90.00°
Atoms (fractional coordinates):
Cd 0.500 0.500 0.000
Cd 0.000 0.000 0.000
Os 0.000 0.500 0.500
Ir 0.500 0.000 0.500

***

Record 8
Cd2IrOs: relaxed, GGA-PBE.

SG = Fm-3m, No. 225

a = 4.587 Å, b = 4.587 Å, c = 4.587 Å
α = 60.00°, β = 60.00°, γ = 60.00°
Atoms (fractional coordinates):
Ir 0.500 0.500 0.500
Cd 0.750 0.750 0.750
Cd 0.250 0.250 0.250
Os 0.000 0.000 0.000

***

DFT formation energy readings, ordered: 0.59 0.18 2.19 1.55 1.57 0.46 0.72 0.74 eV per atom
Energy above the most stable polymorph in this dataset readings, ordered: 1.63 0.00 0.00 0.00 0.00 1.13 2.16 2.24 eV/f.u.